# Nd2Al4Cu3Ni

Nd2Al4Cu3Ni after structural relaxation (PBE-GGA, Alexandria via LeMat-Bulk).

## Properties
- electronic total energy (Ry/atom) = -0.3448
- density (g/cm³) = 5.94

a = 4.2213 Å, b = 4.2213 Å, c = 10.1368 Å
α = 90.00°, β = 90.00°, γ = 90.00°
Atoms (fractional coordinates):
Nd 0.0000 0.5000 0.2412
Nd 0.5000 0.0000 0.7588
Al 0.0000 0.0000 0.5000
Al 0.0000 0.5000 0.8801
Al 0.5000 0.0000 0.1199
Al 0.5000 0.5000 0.5000
Cu 0.0000 0.0000 0.0000
Cu 0.0000 0.5000 0.6348
Cu 0.5000 0.0000 0.3652
Ni 0.5000 0.5000 0.0000